(1)
Entry from Alexandria via LeMat-Bulk: a geometry-optimized Tc2HgRu structure (PBE-GGA).

```
Tc2HgRu
1.0
-0.320 2.589 0.913
-1.749 -1.883 1.016
6.009 -1.756 7.087
Hg Ru Tc
1 1 2
Direct
0.000 0.000 0.502
0.500 0.500 0.769
0.000 0.000 0.000
0.500 0.500 0.229
```

Total moment   0.3 μB per formula unit
Space-group type   Cmm2
DFT formation energy   12.29 kcal/mol of atoms
Calculated total energy   -7.04 eV/atom


(2)
Entry from Alexandria via LeMat-Bulk: a geometry-optimized TiPdSeBr2 structure (PBE-GGA).

```
TiPdSeBr2
1.0
5.094 0.000 0.000
0.000 5.094 0.000
0.000 0.000 4.911
Se Br Pd Ti
1 2 1 1
Direct
0.000 0.000 0.500
0.000 0.500 0.000
0.500 0.000 0.000
0.500 0.500 0.500
0.000 0.000 0.000
```

ΔE_f (raw)   -0.18 eV/atom
Total moment   0.0 μB per formula unit
Space-group type   P4/mmm
Calculated total energy   -4.17 eV/atom
Excess energy over the best structure of this formula in the dataset   0 meV per atom


(3)
Entry from Alexandria via LeMat-Bulk: a geometry-optimized Pu5GeRh3 structure (PBE-GGA).

```
Pu5GeRh3
1.0
7.047 -0.035 -0.388
1.896 6.788 -0.388
2.350 1.774 8.689
Pu Ge Rh
10 2 6
Direct
0.933 0.393 0.345
0.305 0.695 0.000
0.747 0.747 0.069
0.511 0.511 0.351
0.489 0.489 0.649
0.253 0.253 0.931
0.393 0.933 0.345
0.695 0.305 0.000
0.067 0.607 0.655
0.607 0.067 0.655
0.071 0.071 0.727
0.929 0.929 0.273
0.667 0.667 0.805
0.746 0.746 0.484
0.000 0.000 0.000
0.000 0.000 0.500
0.333 0.333 0.195
0.254 0.254 0.516
```

Total moment   5.7 μB per formula unit
Space-group type   C2/m
DFT formation energy   -3.02 kcal/mol of atoms
Calculated total energy   -11.06 eV/atom